one.
Density functional theory data (PBE-GGA) for an optimized crystal structure of GdSI.

Unit cell a=9.3917 b=9.3917 c=4.4286 alpha=90.00 beta=90.00 gamma=120.00
Last column: magnetic moment on the atom in μB.
Positions (direct):
Gd: 0.0037 0.5019 0.5000  6.93
Gd: 0.4981 0.9963 0.5000  6.93
Gd: 0.4981 0.5019 0.5000  6.93
S: 0.8039 0.1961 0.5000  -0.03
S: 0.3922 0.1961 0.5000  -0.03
S: 0.8039 0.6078 0.5000  -0.03
I: 0.6219 0.8109 0.0000  -0.02
I: 0.1891 0.3781 0.0000  -0.02
I: 0.1891 0.8109 0.0000  -0.02

size of the total moment: 7.0 μB/f.u.



two.
Density functional theory data (PBE-GGA) for an optimized crystal structure of GdSI.

Unit cell a=3.6722 b=3.6722 c=7.2191 alpha=104.73 beta=104.73 gamma=90.00
Last column: magnetic moment on the atom in μB.
Positions (direct):
I: 0.0282 0.0282 0.0564  -0.01
S: 0.2783 0.2783 0.5565  -0.02
Gd: 0.6935 0.6935 0.3870  6.94

size of the total moment: 7.0 μB/f.u.



three.
Density functional theory data (PBE-GGA) for an optimized crystal structure of GdSI.

Unit cell a=4.2579 b=5.3874 c=10.2055 alpha=90.00 beta=90.00 gamma=90.00
Last column: magnetic moment on the atom in μB.
Positions (direct):
Gd: 0.5000 0.5000 0.8848  6.93
Gd: 0.0000 0.0000 0.1152  6.93
S: 0.5000 0.0000 0.9411  -0.01
S: 0.0000 0.5000 0.0589  -0.01
I: 0.0000 0.5000 0.6659  -0.01
I: 0.5000 0.0000 0.3341  -0.01

size of the total moment: 7.0 μB/f.u.



four.
Density functional theory data (PBE-GGA) for an optimized crystal structure of GdSI.

Unit cell a=4.2236 b=4.2236 c=7.1570 alpha=90.00 beta=90.00 gamma=120.00
Last column: magnetic moment on the atom in μB.
Positions (direct):
I: 0.0000 0.0000 0.0865  -0.01
S: 0.3333 0.6667 0.5351  -0.02
Gd: 0.6667 0.3333 0.3783  6.95

size of the total moment: 7.0 μB/f.u.



three is preferred energetically. Next in line: 0.075 eV/atom higher.



one.
Density functional theory data (PBE-GGA) for an optimized crystal structure of Gd2ScI.

Unit cell a=3.6030 b=3.6030 c=11.3775 alpha=80.89 beta=80.89 gamma=60.00
Last column: magnetic moment on the atom in μB.
Positions (direct):
I: 0.5000 0.5000 0.5000  -0.01
Sc: 0.0000 0.0000 0.0000  0.28
Gd: 0.0925 0.0925 0.7224  7.36
Gd: 0.9075 0.9075 0.2776  7.36

size of the total moment: 15.9 μB/f.u.



two.
Density functional theory data (PBE-GGA) for an optimized crystal structure of Gd2ScI.

Unit cell a=3.6442 b=3.6442 c=9.0943 alpha=90.00 beta=90.00 gamma=90.00
Last column: magnetic moment on the atom in μB.
Positions (direct):
I: 0.5000 0.5000 0.5000  -0.02
Sc: 0.5000 0.5000 0.0000  0.06
Gd: 0.0000 0.0000 0.7576  7.20
Gd: 0.0000 0.0000 0.2424  7.20

size of the total moment: 15.0 μB/f.u.



two is preferred energetically. Next in line: 0.274 eV/atom higher.



one.
Density functional theory data (PBE-GGA) for an optimized crystal structure of GdSeI.

Unit cell a=4.3065 b=4.3065 c=7.1394 alpha=90.00 beta=90.00 gamma=120.00
Last column: magnetic moment on the atom in μB.
Positions (direct):
I: 0.0000 0.0000 0.0819  0.01
Gd: 0.6667 0.3333 0.3675  -6.95
Se: 0.3333 0.6667 0.5506  0.03

size of the total moment: 7.0 μB/f.u.



two.
Density functional theory data (PBE-GGA) for an optimized crystal structure of GdSeI.

Unit cell a=3.7411 b=3.7411 c=7.5916 alpha=104.26 beta=104.26 gamma=90.00
Last column: magnetic moment on the atom in μB.
Positions (direct):
I: 0.0337 0.0337 0.0674  -0.01
Gd: 0.6866 0.6866 0.3731  6.94
Se: 0.2798 0.2798 0.5595  -0.02

size of the total moment: 7.0 μB/f.u.



one is preferred energetically. Next in line: 0.238 eV/atom higher.



one.
Density functional theory data (PBE-GGA) for an optimized crystal structure of LaGdIn2.

Unit cell a=5.4840 b=5.4840 c=5.4840 alpha=60.00 beta=60.00 gamma=60.00
Last column: magnetic moment on the atom in μB.
Positions (direct):
Gd: 0.5000 0.5000 0.5000  -7.07
In: 0.2500 0.2500 0.2500  0.03
In: 0.7500 0.7500 0.7500  0.03
La: 0.0000 0.0000 0.0000  -0.01

size of the total moment: 7.2 μB/f.u.



two.
Density functional theory data (PBE-GGA) for an optimized crystal structure of LaGdIn2.

Unit cell a=3.8518 b=3.8518 c=7.8174 alpha=90.00 beta=90.00 gamma=90.00
Last column: magnetic moment on the atom in μB.
Positions (direct):
Gd: 0.5000 0.5000 0.0000  7.12
In: 0.0000 0.0000 0.7652  -0.01
In: 0.0000 0.0000 0.2348  -0.01
La: 0.5000 0.5000 0.5000  -0.04

size of the total moment: 7.2 μB/f.u.



two is preferred energetically. Next in line: 0.013 eV/atom higher.



one.
Density functional theory data (PBE-GGA) for an optimized crystal structure of Li2GdIn.

Unit cell a=4.6792 b=4.5399 c=4.5399 alpha=90.00 beta=90.00 gamma=90.00
Last column: magnetic moment on the atom in μB.
Positions (direct):
Gd: 0.5000 0.0000 0.0000  7.39
Li: 0.0000 0.0000 0.5000  0.05
Li: 0.0000 0.5000 0.0000  0.05
In: 0.5000 0.5000 0.5000  0.05

size of the total moment: 8.4 μB/f.u.



two.
Density functional theory data (PBE-GGA) for an optimized crystal structure of Li2GdIn.

Unit cell a=4.8810 b=4.8810 c=4.8810 alpha=60.00 beta=60.00 gamma=60.00
Last column: magnetic moment on the atom in μB.
Positions (direct):
Gd: 0.5000 0.5000 0.5000  7.07
Li: 0.7500 0.7500 0.7500  0.01
Li: 0.2500 0.2500 0.2500  0.01
In: 0.0000 0.0000 0.0000  -0.04

size of the total moment: 7.2 μB/f.u.



two is preferred energetically. Next in line: 0.166 eV/atom higher.



one.
Density functional theory data (PBE-GGA) for an optimized crystal structure of GdLuIn.

Unit cell a=3.5522 b=3.5522 c=7.1787 alpha=104.32 beta=104.32 gamma=90.00
Last column: magnetic moment on the atom in μB.
Positions (direct):
Gd: 0.2919 0.2919 0.5837  7.20
Lu: 0.6049 0.6049 0.2097  0.09
In: 0.9533 0.9533 0.9065  -0.02

size of the total moment: 7.6 μB/f.u.



two.
Density functional theory data (PBE-GGA) for an optimized crystal structure of GdLuIn.

Unit cell a=3.6260 b=5.2083 c=5.2083 alpha=120.00 beta=90.00 gamma=90.00
Last column: magnetic moment on the atom in μB.
Positions (direct):
Gd: 0.3597 0.3333 0.6667  7.16
Lu: 0.9090 0.0000 0.0000  0.10
In: 0.7313 0.6667 0.3333  -0.03

size of the total moment: 7.5 μB/f.u.



one is preferred energetically. Next in line: 0.077 eV/atom higher.